## Y2CrAu (PBE)

Data for a relaxed Y2CrAu crystal.

Properties
Volume = 23.62 A^3/atom
E_form = -0.1270 eV per atom
Magnetic moment = 3.14 μB/f.u.

a b c (Å): 11.758 3.617 4.865
angles (deg): 90.00 114.05 90.00
Positions (direct):
Y1 0.000 0.000 0.000
Y2 0.220 0.000 0.717
Y3 0.500 0.500 0.000
Y4 0.720 0.500 0.717
Cr1 0.443 0.000 0.444
Cr2 0.943 0.500 0.444
Au1 0.250 0.500 0.247
Au2 0.750 0.000 0.247